w.
This record from Alexandria describes a relaxed TaNi2Cl crystal. The functional is PBE-GGA.

The structure in extended XYZ format:
```
4
Lattice="-4.5547 -0.8283 -2.4134 0.0446 -2.4828 -4.5924 1.0392 -0.0999 5.1153" Properties=species:S:1:pos:R:3 pbc="T T T"
Ni -0.0029 -0.0021 -0.0045
Ni -2.9006 -1.3031 -0.4244
Ta -2.1959 -1.6121 -3.4111
Cl -0.6265 -2.1491 -1.5535
```

Output
Space group ... Imm2, No. 44

x.
This record from Alexandria describes a relaxed TaNi2Cl crystal. The functional is PBE-GGA.

The structure in extended XYZ format:
```
4
Lattice="4.2581 -0.0134 0.0000 0.0099 4.2581 0.0000 -2.1340 -2.1224 3.0122" Properties=species:S:1:pos:R:3 pbc="T T T"
Ni 0.0000 0.0000 0.0000
Ni 0.0049 2.1291 1.5061
Cl 2.1290 -0.0067 1.5061
Ta 2.1340 2.1224 0.0000
```

Output
Space group ... F-43m, No. 216

The most stable arrangement is x, and the next structure is 23 meV/atom less stable.

w.
This record from Alexandria describes a relaxed TaNi2Cl crystal. The functional is PBE-GGA.

The structure in extended XYZ format:
```
8
Lattice="-6.0119 2.8307 1.1858 -0.2737 -3.0923 5.9937 -2.0127 1.8250 4.6505" Properties=species:S:1:pos:R:3 pbc="T T T"
Ni -3.8728 1.2019 6.3135
Ni -4.1612 1.7760 2.6266
Ni -7.0034 1.2086 9.6368
Ni -1.5594 -1.0597 5.0833
Cl -3.1428 -0.1308 3.5898
Cl -2.7146 -0.6991 7.1170
Ta 0.0000 0.0000 0.0000
Ta -5.5837 2.2624 4.7131
```

Output
Space group ... I-42d, No. 122

x.
This record from Alexandria describes a relaxed TaNi2Cl crystal. The functional is PBE-GGA.

The structure in extended XYZ format:
```
4
Lattice="-6.9565 0.2310 -2.7444 -7.4568 -0.5382 0.2916 -7.0333 2.4967 -0.5264" Properties=species:S:1:pos:R:3 pbc="T T T"
Ni -10.8091 1.1035 -1.5015
Ni -21.3608 2.1807 -2.9673
Cl -16.0850 1.6421 -2.2344
Ta -5.3617 0.5474 -0.7448
```

Output
Space group ... R-3m, No. 166

The most stable arrangement is x, and the next structure is 235 meV/atom less stable.

w.
This record from Alexandria describes a relaxed TaNi2Cl crystal. The functional is PBE-GGA.

The structure in extended XYZ format:
```
4
Lattice="2.8502 0.0000 0.0000 0.0000 4.3286 0.0447 0.0000 4.2917 4.5479" Properties=species:S:1:pos:R:3 pbc="T T T"
Ni 1.4251 2.1643 0.0224
Ni 0.0000 0.0000 0.0000
Cl 0.0000 2.1458 2.2739
Ta 1.4251 4.3101 2.2963
```

Output
Space group ... P2/m, No. 10

x.
This record from Alexandria describes a relaxed TaNi2Cl crystal. The functional is PBE-GGA.

The structure in extended XYZ format:
```
4
Lattice="-0.8158 -2.3732 -4.2427 2.1290 -4.4148 -0.5248 -2.7386 2.2675 3.4143" Properties=species:S:1:pos:R:3 pbc="T T T"
Ni 0.0000 0.0000 0.0000
Ni 0.6566 -3.3940 -2.3838
Ta 0.0235 -2.7707 0.2529
Cl -1.4489 -1.7499 -1.6061
```

Output
Space group ... I4/mmm, No. 139

y.
This record from Alexandria describes a relaxed TaNi2Cl crystal. The functional is PBE-GGA.

The structure in extended XYZ format:
```
4
Lattice="-0.9344 -1.2602 2.5220 3.0928 -0.0539 1.1190 -0.8345 6.3254 2.8515" Properties=species:S:1:pos:R:3 pbc="T T T"
Ni 2.2741 0.4948 1.0898
Ni 0.1022 0.9756 2.2744
Ta 1.9529 2.7092 2.0773
Cl 1.2165 3.9135 4.1552
```

Output
Space group ... Pm, No. 6

z.
This record from Alexandria describes a relaxed TaNi2Cl crystal. The functional is PBE-GGA.

The structure in extended XYZ format:
```
4
Lattice="5.0979 -0.0036 0.0004 4.3164 2.7125 0.0004 1.9221 0.5530 3.9519" Properties=species:S:1:pos:R:3 pbc="T T T"
Ni 5.5956 1.6101 2.0133
Ni 1.9947 0.5739 3.9150
Ta 2.8341 0.8155 0.9882
Cl 8.5023 2.4464 2.9646
```

Output
Space group ... Immm, No. 71

The most stable arrangement is y, and the next structure is 332 meV/atom less stable.

w.
This record from Alexandria describes a relaxed TaNi2Cl crystal. The functional is PBE-GGA.

The structure in extended XYZ format:
```
4
Lattice="4.1784 0.0006 -0.1526 3.0405 2.8661 -0.1526 0.6125 0.2432 6.2589" Properties=species:S:1:pos:R:3 pbc="T T T"
Cl 7.0693 2.8073 4.2855
Ni 6.6661 2.6472 0.3591
Ni 1.5622 0.6204 1.5504
Ta 3.6682 1.4567 2.4303
```

Output
Space group ... Cm, No. 8

x.
This record from Alexandria describes a relaxed TaNi2Cl crystal. The functional is PBE-GGA.

The structure in extended XYZ format:
```
4
Lattice="-0.4749 -2.7787 1.1245 2.7921 -0.8216 -0.8512 2.6011 2.1630 6.4437" Properties=species:S:1:pos:R:3 pbc="T T T"
Cl 2.9736 -0.2908 4.6330
Ta 1.1631 0.9672 2.8813
Ni 0.2532 0.2106 0.6273
Ni 1.8289 -1.2427 1.7972
```

Output
Space group ... P4mm, No. 99

The most stable arrangement is w, and the next structure is 80 meV/atom less stable.

w.
This record from Alexandria describes a relaxed TaNiCl2 crystal. The functional is PBE-GGA.

The structure in extended XYZ format:
```
4
Lattice="5.2087 0.0344 -0.0051 -1.2600 5.0542 -0.0051 1.0965 1.4130 2.4759" Properties=species:S:1:pos:R:3 pbc="T T T"
Ni 3.1526 0.7237 1.2354
Cl 1.9744 2.5443 -0.0051
Cl 0.0000 0.0000 0.0000
Ta -0.0817 3.2336 1.2354
```

Output
Space group ... C2/m, No. 12

x.
This record from Alexandria describes a relaxed TaNiCl2 crystal. The functional is PBE-GGA.

The structure in extended XYZ format:
```
4
Lattice="2.9433 0.0000 0.0000 0.0000 5.3156 0.0000 0.0000 0.0000 4.1171" Properties=species:S:1:pos:R:3 pbc="T T T"
Cl 1.4716 2.6578 0.0000
Cl 0.0000 0.0000 0.0000
Ni 1.4716 0.0000 2.0586
Ta 0.0000 2.6578 2.0586
```

Output
Space group ... Pmmm, No. 47

The most stable arrangement is w, and the next structure is 151 meV/atom less stable.

w.
This record from Alexandria describes a relaxed TaNi3Cl crystal. The functional is PBE-GGA.

The structure in extended XYZ format:
```
5
Lattice="-3.1022 -2.5450 -2.3232 3.1378 -3.3784 -0.4889 -1.4244 -1.8993 3.9827" Properties=species:S:1:pos:R:3 pbc="T T T"
Ni -1.5511 -1.2725 -1.1616
Ni 1.5689 -1.6892 -0.2444
Ni -0.7122 -0.9497 1.9914
Ta 0.0000 0.0000 0.0000
Cl -0.6945 -3.9114 0.5853
```

Output
Space group ... Pm-3m, No. 221

x.
This record from Alexandria describes a relaxed TaNi3Cl crystal. The functional is PBE-GGA.

The structure in extended XYZ format:
```
5
Lattice="4.1516 0.0000 0.0000 0.0000 4.1516 0.0000 0.0000 0.0000 4.1516" Properties=species:S:1:pos:R:3 pbc="T T T"
Ni 0.0000 2.0758 0.0000
Ni 2.0758 0.0000 0.0000
Ni 0.0000 0.0000 2.0758
Cl 0.0000 0.0000 0.0000
Ta 2.0758 2.0758 2.0758
```

Output
Space group ... Pm-3m, No. 221

The most stable arrangement is x, and the next structure is 527 meV/atom less stable.